# 1
The following is a PBE-GGA calculation of Pm2Sm3DyY6 after structural relaxation, from Alexandria via LeMat-Bulk.

Geometry as extended XYZ:
```
12
Lattice="-2.3976 2.4350 5.2134 -3.4563 -0.2857 -5.1797 -1.9200 -11.2807 3.1486" Properties=species:S:1:pos:R:3 pbc="T T T"
Dy 0.0000 0.0000 0.0000
Y -4.8730 -1.2063 0.8122
Y -2.9009 -7.9251 2.3701
Y -6.0091 -7.3059 0.6576
Y -5.6565 -6.3999 4.1186
Y -1.7648 -1.8255 2.5247
Y -2.1174 -2.7315 -0.9363
Sm -3.8869 -4.5657 1.5911
Sm -4.2398 -5.4724 -1.8727
Sm -3.5341 -3.6589 5.0550
Pm -2.7507 1.5276 1.7470
Pm -3.1032 0.6218 -1.7133
```

electronic total energy	-5.574	eV per atom
symmetry	C2/m (12)
magnetization	0.0	μB/f.u.
Fermi-level density of states	15.6	states/eV per cell
ΔH_f (0 K)	0.0136	eV per atom


# 2
The following is a PBE-GGA calculation of Pm2Sm2DyY after structural relaxation, from Alexandria via LeMat-Bulk.

Geometry as extended XYZ:
```
12
Lattice="5.6952 0.0000 0.0000 0.0000 7.0860 0.0000 0.0000 0.0000 9.8678" Properties=species:S:1:pos:R:3 pbc="T T T"
Dy 2.8476 5.3672 3.3617
Dy 2.8476 1.8242 6.5061
Sm 2.8476 0.0552 9.8664
Sm 2.8476 3.5982 0.0015
Sm 0.0000 5.3691 8.1278
Sm 0.0000 1.8261 1.7400
Y 0.0000 0.0527 4.9338
Y 0.0000 3.5957 4.9340
Pm 2.8476 1.8240 3.2370
Pm 0.0000 5.3699 1.5777
Pm 2.8476 5.3670 6.6308
Pm 0.0000 1.8269 8.2901
```

electronic total energy	-4.945	eV per atom
symmetry	Pmma (51)
magnetization	0.0	μB/f.u.
Fermi-level density of states	18.9	states/eV per cell
ΔH_f (0 K)	0.0557	eV per atom


# 3
The following is a PBE-GGA calculation of PmSm2Dy2Y4 after structural relaxation, from Alexandria via LeMat-Bulk.

Geometry as extended XYZ:
```
9
Lattice="3.6186 0.0000 0.0000 -1.8093 9.3747 -0.5026 0.0000 -3.7090 8.8768" Properties=species:S:1:pos:R:3 pbc="T T T"
Y 0.0000 2.2361 2.7765
Y 1.8093 -0.8824 2.9440
Y 0.0000 6.5481 5.4302
Y 1.8093 3.4296 5.5977
Sm 0.0000 0.3075 5.7735
Sm 1.8093 5.3581 2.6007
Pm 0.0000 0.0000 0.0000
Dy 1.8093 3.1331 -0.1579
Dy 0.0000 2.5326 8.5320
```

electronic total energy	-5.471	eV per atom
symmetry	C2/m (12)
magnetization	0.0	μB/f.u.
Fermi-level density of states	12.2	states/eV per cell
ΔH_f (0 K)	0.0014	eV per atom


# 4
The following is a PBE-GGA calculation of PmSm2Dy6Y2 after structural relaxation, from Alexandria via LeMat-Bulk.

Geometry as extended XYZ:
```
11
Lattice="-2.0084 5.9478 -2.3191 -3.6051 -5.0240 2.5596 6.7038 3.1909 9.3701" Properties=species:S:1:pos:R:3 pbc="T T T"
Pm 3.3519 1.5954 4.6850
Dy 0.3165 1.1972 2.7960
Dy -2.3469 2.9448 1.3201
Dy 3.9186 4.4783 6.8194
Dy 3.4372 1.1699 8.2905
Dy 0.7738 2.9175 6.8146
Dy -2.8283 -0.3636 2.7912
Sm 0.2160 -0.2041 5.8108
Sm 0.8742 4.3188 3.7997
Y -2.2226 4.4759 -1.6646
Y -3.3909 -3.5520 1.9051
```

electronic total energy	-4.817	eV per atom
symmetry	Cmmm (65)
magnetization	0.0	μB/f.u.
Fermi-level density of states	17.2	states/eV per cell
ΔH_f (0 K)	0.1581	eV per atom


# 5
The following is a PBE-GGA calculation of PmSm2DyY6 after structural relaxation, from Alexandria via LeMat-Bulk.

Geometry as extended XYZ:
```
20
Lattice="-2.7264 7.9073 -5.0214 -1.7410 -5.6439 -6.5328 -6.0948 0.9912 6.2796" Properties=species:S:1:pos:R:3 pbc="T T T"
Y -4.5544 -2.5527 -2.0990
Y -6.8378 2.8033 -1.9019
Y -3.5559 0.3197 -6.8999
Y -5.6552 2.7522 -8.8729
Y -4.9069 0.5025 3.5984
Y -8.9531 5.0035 -0.7263
Y -7.0063 2.9349 1.6253
Y -5.1796 -2.6234 -5.3087
Y -3.7244 0.4514 -3.3727
Y -6.0077 5.8074 -3.1756
Y -5.3826 5.8781 0.0341
Y -1.6091 -1.7488 -4.5483
Sm -3.6213 3.5022 -2.1573
Sm -8.7397 4.3700 -4.3461
Sm -1.8225 -1.1154 -0.9285
Sm -6.9409 -0.2475 -3.1173
Dy -5.0024 0.2645 -0.1963
Dy -5.5598 2.9902 -5.0783
Pm -8.0523 6.7887 2.2568
Pm -2.5098 -3.5341 -7.5314
```

electronic total energy	-5.643	eV per atom
symmetry	C2/c (15)
magnetization	0.0	μB/f.u.
Fermi-level density of states	30.2	states/eV per cell
ΔH_f (0 K)	0.1141	eV per atom


# 6
The following is a PBE-GGA calculation of PmSmDy6Y2 after structural relaxation, from Alexandria via LeMat-Bulk.

Geometry as extended XYZ:
```
20
Lattice="9.0478 -1.9320 -2.0050 0.8838 8.5583 -1.9450 0.8838 -2.2609 8.4803" Properties=species:S:1:pos:R:3 pbc="T T T"
Y 5.4052 4.4009 3.4849
Y 9.9291 2.3534 3.5246
Y 5.4103 -0.0355 1.0454
Y 0.8864 2.0120 1.0058
Sm 7.6697 -3.3523 6.6320
Sm 3.1458 7.7177 -2.1017
Dy 5.8192 5.1366 -1.6078
Dy 2.1572 4.4278 -1.3172
Dy 4.1344 6.8118 1.1568
Dy 8.6583 -0.0624 5.8475
Dy 2.0975 4.7395 2.4747
Dy 6.6811 -2.4464 3.3735
Dy 1.2953 -0.8311 6.0759
Dy 8.7179 -0.3740 2.0556
Dy 6.6215 1.3314 3.8254
Dy 4.1940 3.0340 0.7049
Dy 9.5202 5.1966 -1.5456
Dy 4.9962 -0.7712 6.1382
Pm 7.6697 2.6871 0.8125
Pm 3.1458 1.6783 3.7179
```

electronic total energy	-4.874	eV per atom
symmetry	C2/c (15)
magnetization	0.0	μB/f.u.
Fermi-level density of states	30.4	states/eV per cell
ΔH_f (0 K)	0.1267	eV per atom


# 7
The following is a PBE-GGA calculation of Pm4Sm2DyY2 after structural relaxation, from Alexandria via LeMat-Bulk.

Geometry as extended XYZ:
```
9
Lattice="-3.7278 -2.2571 2.6854 -1.2324 -1.5131 -7.8613 5.2773 -5.4642 2.7331" Properties=species:S:1:pos:R:3 pbc="T T T"
Pm 0.3815 -2.9912 -1.9846
Pm -0.4525 -3.2358 1.5308
Pm 0.7696 -5.9986 -3.9736
Pm -0.0644 -6.2432 -0.4582
Sm -2.5182 -5.0008 -2.8203
Sm 2.8353 -4.2336 0.3774
Y -2.0656 -1.7634 -4.3496
Y 2.3827 -7.4710 1.9068
Dy 0.0000 0.0000 0.0000
```

electronic total energy	-5.091	eV per atom
symmetry	C2/m (12)
magnetization	0.0	μB/f.u.
Fermi-level density of states	13.9	states/eV per cell
ΔH_f (0 K)	0.0172	eV per atom


# 8
The following is a PBE-GGA calculation of PmSm6Dy3Y2 after structural relaxation, from Alexandria via LeMat-Bulk.

Geometry as extended XYZ:
```
12
Lattice="-1.6659 5.5929 -2.2077 0.6908 -4.8147 -3.9078 -10.9693 -3.0518 3.4769" Properties=species:S:1:pos:R:3 pbc="T T T"
Sm -2.6138 -2.3072 -0.9407
Sm -3.3990 1.1605 -0.3743
Sm -3.4924 -0.1836 -3.7172
Sm -9.3306 0.0335 -1.6979
Sm -8.4520 -2.0900 1.0786
Sm -8.5454 -3.4341 -2.2644
Pm 0.0000 0.0000 0.0000
Dy -5.1872 -4.6036 -1.8856
Dy -5.9722 -1.1368 -1.3193
Dy -6.7572 2.3300 -0.7530
Y -0.0949 -1.3451 -3.3411
Y -0.8803 2.1233 -2.7745
```

electronic total energy	-4.970	eV per atom
symmetry	C2/m (12)
magnetization	0.0	μB/f.u.
Fermi-level density of states	15.2	states/eV per cell
ΔH_f (0 K)	0.0134	eV per atom


# 9
The following is a PBE-GGA calculation of PmSm2Dy2Y6 after structural relaxation, from Alexandria via LeMat-Bulk.

Geometry as extended XYZ:
```
11
Lattice="6.6244 -0.6014 -0.5013 -3.7969 5.4614 -0.5013 -1.8832 -3.2371 11.4639" Properties=species:S:1:pos:R:3 pbc="T T T"
Dy 2.6058 -0.4299 5.2307
Dy -1.6616 2.0528 5.2307
Y 0.0131 3.6931 1.6713
Y 0.2738 0.4707 3.0483
Y 0.9311 -2.0702 8.7901
Y 0.6703 1.1522 7.4130
Y -2.2598 -0.2138 8.7901
Y 3.2040 1.8367 1.6713
Pm -0.9416 -1.6185 5.7320
Sm -2.3973 4.6471 -0.5013
Sm 5.2247 0.2129 -0.5013
```

electronic total energy	-5.502	eV per atom
symmetry	C2/m (12)
magnetization	0.0	μB/f.u.
Fermi-level density of states	17.4	states/eV per cell
ΔH_f (0 K)	0.1509	eV per atom


# 10
The following is a PBE-GGA calculation of PmSm5DyY2 after structural relaxation, from Alexandria via LeMat-Bulk.

Geometry as extended XYZ:
```
18
Lattice="5.6709 0.0000 0.0000 -2.8355 10.1266 0.0000 0.0000 0.0000 10.6972" Properties=species:S:1:pos:R:3 pbc="T T T"
Sm 0.0000 7.9832 0.2690
Sm 2.8355 4.4060 8.6325
Sm 2.8355 2.1434 5.6176
Sm 0.0000 0.3689 0.2571
Sm 2.8355 9.7577 5.6057
Sm 0.0000 5.7206 3.2839
Sm 0.0000 9.6947 7.9298
Sm 2.8355 4.0988 2.1794
Sm 0.0000 6.0278 7.5280
Sm 2.8355 0.4319 2.5812
Dy 2.8355 1.7868 10.2367
Dy 0.0000 8.3398 4.8881
Y 0.0000 2.3592 3.4333
Y 2.8355 7.8988 2.5244
Y 0.0000 2.2278 7.8730
Y 2.8355 7.7674 8.7818
Pm 2.8355 6.0227 5.4435
Pm 0.0000 4.1038 0.0949
```

electronic total energy	-4.953	eV per atom
symmetry	Cmc2_1 (36)
magnetization	0.0	μB/f.u.
Fermi-level density of states	29.0	states/eV per cell
ΔH_f (0 K)	0.1441	eV per atom


# 11
The following is a PBE-GGA calculation of PmSmDyY after structural relaxation, from Alexandria via LeMat-Bulk.

Geometry as extended XYZ:
```
4
Lattice="-3.4807 -4.3473 -1.3586 -2.5892 -3.0006 4.1416 -5.6551 0.5002 0.7942" Properties=species:S:1:pos:R:3 pbc="T T T"
Y -8.7938 -5.1358 2.6828
Dy -2.9313 -1.7119 0.8943
Sm 0.0000 0.0000 0.0000
Pm -5.8625 -3.4239 1.7886
```

electronic total energy	-5.012	eV per atom
symmetry	F-43m (216)
magnetization	0.0	μB/f.u.
Fermi-level density of states	8.6	states/eV per cell
excess energy over the best structure of this formula in the dataset	0.1054	eV/atom
ΔH_f (0 K)	0.1224	eV per atom


# 12
The following is a PBE-GGA calculation of Pm2SmDy2Y6 after structural relaxation, from Alexandria via LeMat-Bulk.

Geometry as extended XYZ:
```
11
Lattice="-4.0673 -4.9025 1.9979 6.2964 1.2821 1.8112 -5.7601 9.7765 4.1152" Properties=species:S:1:pos:R:3 pbc="T T T"
Y -1.0344 1.8034 2.3184
Y -5.4946 5.7350 4.3974
Y -2.3225 7.6280 4.3403
Y -2.4965 4.3527 5.6060
Y -1.2085 -1.4719 3.5841
Y 1.9636 0.4211 3.5269
Dy 0.3603 4.3466 3.9239
Dy -3.8913 1.8095 4.0005
Pm 4.9065 0.4527 1.8363
Pm -2.6774 -4.0731 1.9729
Sm -2.8800 4.8882 2.0576
```

electronic total energy	-5.506	eV per atom
symmetry	Cmmm (65)
magnetization	0.0	μB/f.u.
Fermi-level density of states	17.7	states/eV per cell
ΔH_f (0 K)	0.1493	eV per atom